{
  "formula": "CeCoPtO6",
  "functional": "GGA+U",
  "state": "relaxed",
  "lattice_angstrom": [[4.8256, 0.0000, 0.0000], [0.0000, 4.8256, 0.0000], [0.0000, 0.0000, 9.6662]],
  "species": ["Ce", "Ce", "Co", "Co", "Pt", "Pt", "O", "O", "O", "O", "O", "O", "O", "O", "O", "O", "O", "O"],
  "frac_coords": [[0.0000, 0.0000, 0.0000], [0.5000, 0.5000, 0.5000], [0.0000, 0.0000, 0.6637], [0.5000, 0.5000, 0.1637], [0.0000, 0.0000, 0.3286], [0.5000, 0.5000, 0.8286], [0.1770, 0.1770, 0.4940], [0.2097, 0.2097, 0.8227], [0.2118, 0.2118, 0.1793], [0.2882, 0.7118, 0.6793], [0.2903, 0.7097, 0.3227], [0.3230, 0.6770, 0.9940], [0.6770, 0.3230, 0.9940], [0.7097, 0.2903, 0.3227], [0.7118, 0.2882, 0.6793], [0.7882, 0.7882, 0.1793], [0.7903, 0.7903, 0.8227], [0.8230, 0.8230, 0.4940]],
  "vol_a3_per_cell": 225,
  "total_energy_ev_per_atom": -6.616,
  "magnetic_moment_mub_per_fu": 4.21,
  "spacegroup": "P4_2nm, No. 102"
}